VASP calculation (PBE) on a relaxed Tl2VI2Br4 crystal.

Values from the calculation:
**Space group**: I4/mmm (139)
**VASP energy**: -29.80 eV/cell
**Uncorrected formation energy**: -0.685 eV per atom
**N(E_F)**: 6.5 states/eV/cell

Cell lengths 7.686, 7.686, 7.686 Å; angles 122.71, 122.71, 85.36 degrees
Fractional coordinates of all 9 atoms:
Tl 0.250 0.750 0.500
Tl 0.750 0.250 0.500
V 0.000 0.000 0.000
I 0.245 0.245 0.000
I 0.755 0.755 0.000
Br 0.237 0.237 0.474
Br 0.237 0.763 0.000
Br 0.763 0.237 0.000
Br 0.763 0.763 0.526